5
Lattice="5.354 0.000 0.000 0.000 5.354 0.000 0.000 0.000 4.591" Properties=species:S:1:pos:R:3 comment="Ca2MoRhSe | the Alexandria database | SCAN | PBEsol geometry" raw_formation_energy_ev_per_atom=0.743 pbc="T T T"
Ca 0.000 2.677 0.000
Ca 2.677 0.000 0.000
Mo 0.000 0.000 0.000
Rh 2.677 2.677 2.296
Se 0.000 0.000 2.296